[1]
Compound: TaTiTeH2
Source: Alexandria via LeMat-Bulk
Functional: SCAN
Structure: PBEsol geometry

Cell: 3.7421 3.7421 5.6900 Å, 90.00 90.00 90.00°
Space group P4/mmm (No. 123)
One atom of each set of equivalent atoms:
Ta (0.0000, 0.0000, 0.0000) [1 per cell]
Ti (0.5000, 0.5000, 0.0000) [1 per cell]
Te (0.5000, 0.5000, 0.5000) [1 per cell]
H (0.0000, 0.5000, 0.5000) [2 per cell]


[2]
Compound: CoBiS2
Source: Alexandria via LeMat-Bulk
Functional: SCAN
Structure: PBEsol geometry

Values from the calculation:
The uncorrected formation energy is -0.41 eV/atom.

Cell: 3.3703 3.3703 23.4138 Å, 90.00 90.00 120.00°
Space group R-3m (No. 166, hexagonal axes)
One atom of each set of equivalent atoms:
Co (0.0000, 0.0000, 0.0000) [3 per cell]
Bi (0.0000, 0.0000, 0.5000) [3 per cell]
S (0.0000, 0.0000, 0.3800) [6 per cell]


[3]
Compound: Y2ScTeH
Source: Alexandria via LeMat-Bulk
Functional: SCAN
Structure: PBEsol geometry

Cell: 5.9500 5.9500 3.7097 Å, 90.00 90.00 90.00°
Space group P4/mmm (No. 123)
One atom of each set of equivalent atoms:
Y (0.0000, 0.5000, 0.0000) [2 per cell]
Sc (0.0000, 0.0000, 0.5000) [1 per cell]
Te (0.5000, 0.5000, 0.0000) [1 per cell]
H (0.5000, 0.5000, 0.5000) [1 per cell]


What spin magnetization values result from the calculations? In sequence: 0.00; 0.00; 0.00 μB per cell.
What Fermi-level density of states values result from the calculations? In sequence: 0.6595; 0.1481; 1.3240 states/eV/atom.
What electronic total energy values result from the calculations? In sequence: -24.273; -29.192; -21.974 eV/atom.